Here is an optimized crystal structure of Sr3Mg2Zn7 from Alexandria via LeMat-Bulk. Energies are from PBE-GGA.

abc: 5.8638 5.8638 27.1515
angles: 90.00 90.00 120.00
Space group R-3m (No. 166, hexagonal axes)
One atom of each set of equivalent atoms:
1 Sr 0.0000 0.0000 0.0000
2 Sr 0.0000 0.0000 0.1413
3 Mg 0.0000 0.0000 0.3334
4 Zn 0.0000 0.0000 0.5000
5 Zn 0.0026 0.5013 0.9156

Values from the calculation:
As for the volume: 22.46 Å³ per atom. Its density of states at the Fermi level is 29.5 states/eV per cell. Its crystal system is trigonal. The formation enthalpy at 0 K is -0.16 eV per atom.

---

Here is an optimized crystal structure of SmEr4Tc2 from Alexandria via LeMat-Bulk. Energies are from PBE-GGA.

abc: 7.752 6.294 7.922
angles: 90.00 111.97 90.00
Space group P2_1/m (No. 11)
One atom of each set of equivalent atoms:
1 Sm 0.022 0.250 0.157
2 Er 0.240 0.501 0.582
3 Er 0.326 0.750 0.254
4 Er 0.389 0.250 0.025
5 Tc 0.036 0.250 0.752
6 Tc 0.423 0.250 0.382

Values from the calculation:
As for the volume: 25.60 Å³ per atom. Its density of states at the Fermi level is 9.7 states/eV per cell. Its crystal system is monoclinic. The formation enthalpy at 0 K is -0.05 eV per atom.

---

Here is an optimized crystal structure of K3As2Pb2 from Alexandria via LeMat-Bulk. Energies are from PBE-GGA.

abc: 7.543 8.697 15.078
angles: 90.00 90.00 90.00
Space group Pbcm (No. 57)
One atom of each set of equivalent atoms:
1 K 0.081 0.037 0.121
2 K 0.369 0.695 0.250
3 As 0.220 0.171 0.750
4 As 0.322 0.750 0.000
5 Pb 0.358 0.105 0.571

Values from the calculation:
As for the volume: 35.32 Å³ per atom. Its density of states at the Fermi level is 13.2 states/eV per cell. Its crystal system is orthorhombic. The formation enthalpy at 0 K is -0.27 eV per atom.

---

Here is an optimized crystal structure of AsPbSe2 from Alexandria via LeMat-Bulk. Energies are from PBE-GGA.

abc: 3.582 3.582 8.904
angles: 90.00 90.00 90.00
Space group P4mm (No. 99)
One atom of each set of equivalent atoms:
1 As 0.000 0.000 0.000
2 Pb 0.500 0.500 0.334
3 Se 0.000 0.000 0.501
4 Se 0.500 0.500 0.897

Values from the calculation:
As for the volume: 28.55 Å³ per atom. Its density of states at the Fermi level is 1.0 states/eV per cell. Its crystal system is tetragonal. The uncorrected formation energy is -0.024 eV per atom. For the offset from the most stable computed form, the calculation gives 0.68 eV/f.u.

---

Here is an optimized crystal structure of La2InAgTe5 from Alexandria via LeMat-Bulk. Energies are from PBE-GGA.

abc: 4.476 19.634 13.065
angles: 90.00 90.00 90.00
Space group Cmc2_1 (No. 36)
One atom of each set of equivalent atoms:
1 La 0.000 0.121 0.000
2 La 0.000 0.124 0.378
3 In 0.000 0.411 0.169
4 Ag 0.000 0.232 0.736
5 Te 0.000 0.036 0.777
6 Te 0.000 0.297 0.363
7 Te 0.000 0.300 0.032
8 Te 0.000 0.369 0.689
9 Te 0.000 0.491 0.978

Values from the calculation:
As for the volume: 31.89 Å³ per atom. Its crystal system is orthorhombic. The uncorrected formation energy is -0.954 eV per atom.

---

Here is an optimized crystal structure of TaCo2Ru from Alexandria via LeMat-Bulk. Energies are from PBE-GGA.

abc: 3.166 3.166 5.328
angles: 90.00 90.00 90.00
Space group P4/mmm (No. 123)
One atom of each set of equivalent atoms:
1 Ta 0.000 0.000 0.000
2 Co 0.500 0.500 0.257
3 Ru 0.000 0.000 0.500

Values from the calculation:
As for the volume: 13.35 Å³ per atom. Its density of states at the Fermi level is 5.9 states/eV per cell. Its crystal system is tetragonal. The formation enthalpy at 0 K is 0.03 eV per atom. For the offset from the most stable computed form, the calculation gives 0.98 eV/f.u.

---

Here is an optimized crystal structure of Cu3OsCl8 from Alexandria via LeMat-Bulk. Energies are from PBE-GGA.

abc: 7.089 10.065 7.432
angles: 90.00 90.00 90.00
Space group C222 (No. 21)
One atom of each set of equivalent atoms:
1 Cu 0.000 0.000 0.000
2 Cu 0.250 0.250 0.769
3 Os 0.000 0.000 0.500
4 Cl 0.000 0.226 0.000
5 Cl 0.000 0.234 0.500
6 Cl 0.233 0.012 0.724

Values from the calculation:
As for the volume: 22.09 Å³ per atom. Its density of states at the Fermi level is 14.5 states/eV per cell. Its crystal system is orthorhombic. The uncorrected formation energy is -0.422 eV per atom.

---

Here is an optimized crystal structure of Cs2Ac2RuO6 from Alexandria via LeMat-Bulk. Energies are from PBE-GGA.

abc: 6.352 10.721 7.218
angles: 90.00 102.74 90.00
Space group C2/m (No. 12)
One atom of each set of equivalent atoms:
1 Cs 0.000 0.162 0.000
2 Ac 0.000 0.335 0.500
3 Ru 0.000 0.000 0.500
4 O 0.188 0.148 0.655
5 O 0.223 0.000 0.337

Values from the calculation:
As for the volume: 21.79 Å³ per atom. Its density of states at the Fermi level is 6.6 states/eV per cell. Its crystal system is monoclinic. The uncorrected formation energy is -2.006 eV per atom.

---

Question: Number 1 is which compound?
Answer: Sr3Mg2Zn7